Entry 1:
This record from Alexandria via LeMat-Bulk describes a relaxed Li2NdMgAg4 crystal. The functional is GGA-PBE.

The formation energy is -0.192 eV per atom. The volume comes out at 20.25 Å³ per atom. The calculation puts the total DFT energy (no corrections) at -2.891 eV per atom. The size of the total moment is 0.00 μB/f.u. The space-group type is No. 166.

Cell lengths 9.115, 9.115, 9.115 Å; angles 29.45, 29.45, 29.45 degrees
Fractional positions:
Li: 0.238 0.238 0.238
Li: 0.762 0.762 0.762
Nd: 0.000 0.000 0.000
Mg: 0.500 0.500 0.500
Ag: 0.125 0.125 0.125
Ag: 0.397 0.397 0.397
Ag: 0.603 0.603 0.603
Ag: 0.875 0.875 0.875

***

Entry 2:
This record from Alexandria via LeMat-Bulk describes a relaxed LiMgNiAg crystal. The functional is GGA-PBE.

The formation energy is -0.073 eV per atom. The volume comes out at 15.16 Å³ per atom. The calculation puts the total DFT energy (no corrections) at -3.108 eV per atom. The size of the total moment is 0.00 μB/f.u. The space-group type is No. 216.

Cell lengths 4.410, 4.410, 4.410 Å; angles 60.00, 60.00, 60.00 degrees
Fractional positions:
Li: 0.000 0.000 0.000
Mg: 0.500 0.500 0.500
Ni: 0.750 0.750 0.750
Ag: 0.250 0.250 0.250

***

Entry 3:
This record from Alexandria via LeMat-Bulk describes a relaxed LiMg2AgO crystal. The functional is GGA-PBE.

The volume comes out at 14.89 Å³ per atom. The calculation puts the total DFT energy (no corrections) at -3.609 eV per atom. The size of the total moment is 0.00 μB/f.u. The space-group type is No. 123. Its energy relative to the elements, uncorrected is -1.027 eV per atom.

Cell lengths 4.227, 4.227, 4.169 Å; angles 90.00, 90.00, 90.00 degrees
Fractional positions:
Li: 0.000 0.000 0.000
Mg: 0.000 0.500 0.500
Mg: 0.500 0.000 0.500
Ag: 0.500 0.500 0.000
O: 0.000 0.000 0.500

***

Entry 4:
This record from Alexandria via LeMat-Bulk describes a relaxed Li2MgAgO crystal. The functional is GGA-PBE.

The volume comes out at 14.00 Å³ per atom. The calculation puts the total DFT energy (no corrections) at -3.660 eV per atom. The size of the total moment is 0.00 μB/f.u. The space-group type is No. 123. Its energy relative to the elements, uncorrected is -1.014 eV per atom.

Cell lengths 4.125, 4.125, 4.115 Å; angles 90.00, 90.00, 90.00 degrees
Fractional positions:
Li: 0.000 0.500 0.000
Li: 0.500 0.000 0.000
Mg: 0.000 0.000 0.500
Ag: 0.500 0.500 0.500
O: 0.000 0.000 0.000

***

Entry 5:
This record from Alexandria via LeMat-Bulk describes a relaxed Li2Mg2Ag2Pd crystal. The functional is GGA-PBE.

The formation energy is -0.333 eV per atom. The volume comes out at 16.94 Å³ per atom. The calculation puts the total DFT energy (no corrections) at -2.892 eV per atom. The size of the total moment is 0.00 μB/f.u. The space-group type is No. 166.

Cell lengths 7.197, 7.197, 7.197 Å; angles 36.59, 36.59, 36.59 degrees
Fractional positions:
Li: 0.068 0.068 0.068
Li: 0.932 0.932 0.932
Mg: 0.215 0.215 0.215
Mg: 0.785 0.785 0.785
Ag: 0.361 0.361 0.361
Ag: 0.639 0.639 0.639
Pd: 0.500 0.500 0.500

***

Entry 6:
This record from Alexandria via LeMat-Bulk describes a relaxed LiMgAgPd crystal. The functional is GGA-PBE.

The formation energy is -0.412 eV per atom. The volume comes out at 16.08 Å³ per atom. The calculation puts the total DFT energy (no corrections) at -3.301 eV per atom. The size of the total moment is 0.00 μB/f.u. The space-group type is No. 119.

Cell lengths 4.654, 4.654, 4.654 Å; angles 125.58, 125.58, 80.58 degrees
Fractional positions:
Li: 0.000 0.000 0.000
Mg: 0.500 0.500 0.000
Ag: 0.750 0.250 0.500
Pd: 0.250 0.750 0.500

***

Entry 7:
This record from Alexandria via LeMat-Bulk describes a relaxed Li2Mg2AgPd2 crystal. The functional is GGA-PBE.

The formation energy is -0.369 eV per atom. The volume comes out at 16.50 Å³ per atom. The calculation puts the total DFT energy (no corrections) at -3.262 eV per atom. The size of the total moment is 0.00 μB/f.u. The space-group type is No. 166.

Cell lengths 7.182, 7.182, 7.182 Å; angles 36.18, 36.18, 36.18 degrees
Fractional positions:
Li: 0.061 0.061 0.061
Li: 0.939 0.939 0.939
Mg: 0.229 0.229 0.229
Mg: 0.771 0.771 0.771
Ag: 0.500 0.500 0.500
Pd: 0.364 0.364 0.364
Pd: 0.636 0.636 0.636

***

Entry 8:
This record from Alexandria via LeMat-Bulk describes a relaxed Li2PmMgAg2 crystal. The functional is GGA-PBE.

The formation energy is -0.175 eV per atom. The volume comes out at 20.89 Å³ per atom. The calculation puts the total DFT energy (no corrections) at -2.821 eV per atom. The size of the total moment is 0.00 μB/f.u. The space-group type is No. 164.

Cell lengths 4.650, 4.650, 6.694 Å; angles 90.00, 90.00, 120.00 degrees
Fractional positions:
Li: 0.333 0.667 0.185
Li: 0.667 0.333 0.815
Pm: 0.000 0.000 0.500
Mg: 0.000 0.000 0.000
Ag: 0.333 0.667 0.776
Ag: 0.667 0.333 0.224

***

Entry 9:
This record from Alexandria via LeMat-Bulk describes a relaxed LiPmMgAg2 crystal. The functional is GGA-PBE.

The formation energy is -0.215 eV per atom. The volume comes out at 22.21 Å³ per atom. The calculation puts the total DFT energy (no corrections) at -3.008 eV per atom. The size of the total moment is 0.00 μB/f.u. The space-group type is No. 119.

Cell lengths 7.282, 7.282, 7.282 Å; angles 147.51, 147.51, 46.62 degrees
Fractional positions:
Li: 0.000 0.000 0.000
Pm: 0.250 0.750 0.500
Mg: 0.500 0.500 0.000
Ag: 0.644 0.144 0.500
Ag: 0.856 0.356 0.500

***

Entry 10:
This record from Alexandria via LeMat-Bulk describes a relaxed Li2PmMgAg4 crystal. The functional is GGA-PBE.

The formation energy is -0.191 eV per atom. The volume comes out at 19.99 Å³ per atom. The calculation puts the total DFT energy (no corrections) at -2.888 eV per atom. The size of the total moment is 0.00 μB/f.u. The space-group type is No. 166.

Cell lengths 8.816, 8.816, 8.816 Å; angles 30.86, 30.86, 30.86 degrees
Fractional positions:
Li: 0.241 0.241 0.241
Li: 0.759 0.759 0.759
Pm: 0.000 0.000 0.000
Mg: 0.500 0.500 0.500
Ag: 0.127 0.127 0.127
Ag: 0.393 0.393 0.393
Ag: 0.607 0.607 0.607
Ag: 0.873 0.873 0.873

***

Entry 11:
This record from Alexandria via LeMat-Bulk describes a relaxed LiPmMg2Ag2 crystal. The functional is GGA-PBE.

The formation energy is 0.092 eV per atom. The volume comes out at 25.63 Å³ per atom. The calculation puts the total DFT energy (no corrections) at -2.501 eV per atom. The size of the total moment is 0.00 μB/f.u. The space-group type is No. 139.

Cell lengths 6.616, 6.616, 6.616 Å; angles 132.64, 132.64, 69.22 degrees
Fractional positions:
Li: 0.000 0.000 0.000
Pm: 0.500 0.500 0.000
Mg: 0.250 0.750 0.500
Mg: 0.750 0.250 0.500
Ag: 0.224 0.224 0.000
Ag: 0.776 0.776 0.000

***

Entry 12:
This record from Alexandria via LeMat-Bulk describes a relaxed Li2PmMg2Ag2 crystal. The functional is GGA-PBE.

The formation energy is -0.189 eV per atom. The volume comes out at 21.49 Å³ per atom. The calculation puts the total DFT energy (no corrections) at -2.684 eV per atom. The size of the total moment is 0.00 μB/f.u. The space-group type is No. 12.

Cell lengths 4.833, 4.833, 7.984 Å; angles 108.23, 108.23, 59.86 degrees
Fractional positions:
Li: 0.149 0.149 0.443
Li: 0.851 0.851 0.557
Pm: 0.000 0.000 0.000
Mg: 0.426 0.426 0.274
Mg: 0.574 0.574 0.726
Ag: 0.263 0.263 0.792
Ag: 0.737 0.737 0.208